No. 1
The following is a SCAN calculation of a PBEsol-optimized structure of KCuAs, from Alexandria.

Cell: 4.0285 4.0285 5.1736 Å, 90.00 90.00 120.00°
Fractional coordinates of all 3 atoms:
K (0.0000, 0.0000, 0.0000)
Cu (0.6667, 0.3333, 0.5000)
As (0.3333, 0.6667, 0.5000)

**SG**: P-6m2 (187)
**Energy**: -44.60 eV/f.u.
**Crystal system**: hexagonal
**E_form**: -0.295 eV/atom


No. 2
The following is a SCAN calculation of a PBEsol-optimized structure of LiCo2Te, from Alexandria.

Cell: 4.9907 4.9907 2.9389 Å, 105.74 105.74 116.80°
Fractional coordinates of all 4 atoms:
Li (0.0000, 0.0000, 0.0000)
Co (0.0000, 0.5000, 0.5000)
Co (0.5000, 0.0000, 0.5000)
Te (0.5000, 0.5000, 0.0000)

**SG**: C2/m (12)
**Energy**: -73.05 eV/f.u.
**Crystal system**: monoclinic


energy of number 2 (LiCo2Te)? -73.05 eV/f.u.


What is the formula in the second record? LiCo2Te


energy of number 2 (LiCo2Te)? -73.05 eV/f.u.


The lowest energy belongs to which entry? LiCo2Te